Record 1
VASP calculation (PBE-GGA) on a relaxed structure of Pm2Pr4Nd2Dy.

Its crystal system is monoclinic. Its formation enthalpy at 0 K is 14 meV/atom.

The structure belongs to space group C2/m (No. 12); the cell edges are 19.193, 3.702 and 9.879 Å and the angles 90.00°, 115.51° and 90.00°. The asymmetric unit holds Pm at (0.148, 0.000, 0.169), Pr at (0.018, 0.500, 0.830), Pr at (0.185, 0.000, 0.831), Nd at (0.166, 0.500, 0.499) and Dy at (0.000, 0.000, 0.500).



Record 2
VASP calculation (PBE-GGA) on a relaxed structure of Tb2DyY6.

Its crystal system is monoclinic. Its formation enthalpy at 0 K is 101 meV/atom.

The structure belongs to space group C2/c (No. 15); the cell edges are 12.838, 14.280 and 6.558 Å and the angles 90.00°, 103.71° and 90.00°. The asymmetric unit holds Tb at (0.139, 0.023, 0.369), Dy at (0.000, 0.381, 0.250), Y at (0.037, 0.186, 0.005), Y at (0.135, 0.413, 0.813) and Y at (0.240, 0.199, 0.726).



Record 3
VASP calculation (PBE-GGA) on a relaxed structure of Hf4FeP.

Its crystal system is tetragonal. Its formation enthalpy at 0 K is -552 meV/atom.

The structure belongs to space group P4/mcc (No. 124); the cell edges are 6.307, 6.307 and 5.484 Å and the angles 90.00°, 90.00° and 90.00°. The asymmetric unit holds Hf at (0.159, 0.324, 0.000), Fe at (0.000, 0.000, 0.250) and P at (0.500, 0.500, 0.250).



Record 4
VASP calculation (PBE-GGA) on a relaxed structure of LiMnPt2.

Its crystal system is tetragonal. Its formation enthalpy at 0 K is -387 meV/atom.

The structure belongs to space group I-4m2 (No. 119); the cell edges are 3.785, 3.785 and 8.063 Å and the angles 90.00°, 90.00° and 90.00°. The asymmetric unit holds Li at (0.000, 0.000, 0.000), Mn at (0.000, 0.500, 0.750), Pt at (0.000, 0.000, 0.500) and Pt at (0.000, 0.500, 0.250).



Record 5
VASP calculation (PBE-GGA) on a relaxed structure of CaTmH.

Its crystal system is triclinic. The value obtained for the uncorrected energy is -3.530 eV/atom.

The structure belongs to space group P-1 (No. 2); the cell edges are 3.645, 5.309 and 7.431 Å and the angles 89.24°, 89.81° and 89.93°. The asymmetric unit holds Ca at (0.248, 0.255, 0.363), Tm at (0.251, 0.262, 0.891) and H at (0.249, 0.515, 0.113).



Record 6
VASP calculation (PBE-GGA) on a relaxed structure of Tb6HoSc2.

Its crystal system is monoclinic. Its formation enthalpy at 0 K is 134 meV/atom.

The structure belongs to space group C2/c (No. 15); the cell edges are 13.403, 12.944 and 6.536 Å and the angles 90.00°, 104.95° and 90.00°. The asymmetric unit holds Tb at (0.027, 0.143, 0.000), Tb at (0.120, 0.411, 0.816), Tb at (0.244, 0.206, 0.734), Ho at (0.000, 0.360, 0.250) and Sc at (0.183, 0.028, 0.373).



Record 7
VASP calculation (PBE-GGA) on a relaxed structure of CeEuRu4.

Its crystal system is cubic. Its formation enthalpy at 0 K is -103 meV/atom.

The structure belongs to space group F-43m (No. 216); the cell edges are 7.610, 7.610 and 7.610 Å and the angles 90.00°, 90.00° and 90.00°. The asymmetric unit holds Ce at (0.000, 0.000, 0.000), Eu at (0.250, 0.250, 0.250) and Ru at (0.125, 0.125, 0.625).



Record 8
VASP calculation (PBE-GGA) on a relaxed structure of LaSb2S2.

Its crystal system is tetragonal. The value obtained for the uncorrected energy is -4.731 eV/atom.

The structure belongs to space group P4/mbm (No. 127); the cell edges are 8.221, 8.221 and 4.338 Å and the angles 90.00°, 90.00° and 90.00°. The asymmetric unit holds La at (0.000, 0.000, 0.000), Sb at (0.132, 0.368, 0.000) and S at (0.243, 0.743, 0.500).